Record 1
Ba2MgZr | GGA-PBE | relaxed

Output
The value obtained for the formation energy is 0.484 eV/atom. The density is 4.38 g/cm3. As for the space group: Pmmm, No. 47.

Cell: 5.213 3.738 8.469 Å, 63.77 90.00 90.00°
Fractional positions:
Mg  0.500  0.250  0.250
Ba  0.000  0.006  0.995
Zr  0.500  0.750  0.750
Ba  0.000  0.494  0.505

Record 2
NiAg3S | GGA-PBE | relaxed

Output
The calculation puts the energy above the most stable polymorph in this dataset at 0 meV per atom. Its uncorrected formation energy is 0.7642 eV/atom. The density is 6.40 g/cm3. As for the space group: Pm-3m, No. 221.

Cell: 4.754 4.754 4.754 Å, 90.00 90.00 90.00°
Fractional positions:
Ni  0.500  0.500  0.500
Ag  0.000  0.000  0.500
Ag  0.000  0.500  0.000
S  0.000  0.000  0.000
Ag  0.500  0.000  0.000

Record 3
Li4PrHo3Te8 | GGA-PBE | relaxed

Output
Its uncorrected formation energy is -1.2850 eV/atom. The density is 5.98 g/cm3. As for the space group: R-3m, No. 166.

Cell: 8.742 8.691 8.740 Å, 120.24 120.01 90.00°
Fractional positions:
Te  0.256  0.242  0.999
Li  0.500  0.000  0.000
Te  0.751  0.753  0.502
Li  0.500  0.000  0.500
Ho  0.500  0.500  0.000
Te  0.743  0.242  0.485
Te  0.249  0.247  0.498
Te  0.257  0.758  0.001
Te  0.257  0.758  0.515
Ho  0.000  0.500  0.500
Li  0.000  0.000  0.500
Te  0.743  0.242  0.999
Li  0.000  0.000  0.000
Ho  0.500  0.500  0.500
Pr  0.000  0.500  0.000
Te  0.744  0.758  0.001

Record 4
Na2Ac5Pb5 | GGA-PBE | relaxed

Output
The value obtained for the formation energy is -0.312 eV/atom. The density is 8.46 g/cm3. As for the space group: C2/m, No. 12.

Cell: 5.158 7.192 14.226 Å, 115.91 90.00 111.01°
Fractional positions:
Ac  0.671  0.343  0.282
Pb  0.693  0.387  0.784
Pb  0.000  0.000  0.000
Ac  0.658  0.316  0.007
Na  0.945  0.889  0.230
Pb  0.841  0.681  0.550
Pb  0.159  0.319  0.450
Ac  0.500  0.000  0.500
Ac  0.329  0.657  0.718
Na  0.055  0.111  0.770
Pb  0.307  0.613  0.216
Ac  0.342  0.684  0.993